# 1
The following is a PBE-GGA calculation of crystalline SmNi4SbP2 at its relaxed geometry, from Alexandria via LeMat-Bulk.

```
SmNi4SbP2
1.0
3.974 0.000 0.000
0.000 3.974 0.000
0.000 0.000 7.766
Sm Ni Sb P
1 4 1 2
direct
0.000 0.000 0.500 Sm
0.000 0.500 0.209 Ni
0.500 0.000 0.791 Ni
0.500 0.000 0.209 Ni
0.000 0.500 0.791 Ni
0.000 0.000 0.000 Sb
0.500 0.500 0.346 P
0.500 0.500 0.654 P
```

## Properties
- Energy relative to the elements, uncorrected: -0.6542 eV per atom
- Space group: P4/mmm, No. 123

# 2
The following is a PBE-GGA calculation of crystalline BaInP2 at its relaxed geometry, from Alexandria via LeMat-Bulk.

```
BaInP2
1.0
4.968 -0.004 0.008
0.008 4.968 0.008
-0.006 -0.006 4.071
Ba In P
1 1 2
direct
0.500 0.000 0.500 Ba
0.000 0.500 0.500 In
0.000 0.000 0.000 P
0.500 0.500 0.000 P
```

## Properties
- Space group: P4/mmm, No. 123
- Energy of formation from the pure elements: -109.3 meV per atom

# 3
The following is a PBE-GGA calculation of crystalline BaIrBr2 at its relaxed geometry, from Alexandria via LeMat-Bulk.

```
BaIrBr2
1.0
5.459 0.000 0.000
2.730 4.728 0.000
2.730 1.576 4.458
Ir Ba Br
1 1 2
direct
0.750 0.750 0.750 Ir
0.500 0.500 0.500 Ba
0.000 0.000 0.000 Br
0.250 0.250 0.250 Br
```

## Properties
- Energy relative to the elements, uncorrected: 0.1244 eV per atom
- Space group: F-43m, No. 216
- E above lowest polymorph: 0.7568 eV/atom

# 4
The following is a PBE-GGA calculation of crystalline Zn3Cd3Ag5 at its relaxed geometry, from Alexandria via LeMat-Bulk.

```
Zn3Cd3Ag5
1.0
-2.497 0.536 1.366
0.150 -8.526 3.619
3.987 7.026 4.533
Zn Cd Ag
3 3 5
direct
0.500 0.842 0.000 Zn
0.500 0.158 0.158 Zn
0.500 0.000 0.842 Zn
0.000 0.592 0.000 Cd
0.000 0.000 0.592 Cd
0.000 0.408 0.408 Cd
0.500 0.667 0.333 Ag
0.500 0.333 0.667 Ag
0.500 0.329 0.000 Ag
0.500 0.671 0.671 Ag
0.500 0.000 0.329 Ag
```

## Properties
- Space group: P-62m, No. 189
- E above lowest polymorph: 0.0000 eV/atom
- Energy of formation from the pure elements: 122.7 meV per atom

# 5
The following is a PBE-GGA calculation of crystalline RbAc2AgBr8 at its relaxed geometry, from Alexandria via LeMat-Bulk.

```
RbAc2AgBr8
1.0
7.392 0.305 -0.006
0.422 7.262 -0.010
0.007 0.010 9.484
Rb Ac Ag Br
1 2 1 8
direct
0.000 0.000 0.500 Rb
0.500 0.500 0.759 Ac
0.500 0.500 0.241 Ac
0.000 0.000 0.000 Ag
0.165 0.767 0.214 Br
0.655 0.718 0.000 Br
0.835 0.233 0.214 Br
0.835 0.233 0.786 Br
0.345 0.282 0.000 Br
0.165 0.767 0.786 Br
0.641 0.709 0.500 Br
0.359 0.291 0.500 Br
```

## Properties
- Energy relative to the elements, uncorrected: -1.6571 eV per atom
- Space group: P2/m, No. 10

# 6
The following is a PBE-GGA calculation of crystalline CsRb3Tl8 at its relaxed geometry, from Alexandria via LeMat-Bulk.

```
CsRb3Tl8
1.0
-5.120 -3.399 3.341
0.873 -0.883 -6.884
6.686 -8.205 1.900
Cs Rb Tl
1 3 8
direct
0.000 0.000 0.560 Cs
0.667 0.333 0.439 Rb
0.667 0.333 0.062 Rb
0.000 0.000 0.942 Rb
0.333 0.667 0.504 Tl
0.333 0.667 0.995 Tl
0.501 0.002 0.752 Tl
0.501 0.499 0.752 Tl
0.998 0.499 0.752 Tl
0.170 0.339 0.248 Tl
0.170 0.830 0.248 Tl
0.661 0.830 0.248 Tl
```

## Properties
- Space group: P3m1, No. 156
- E above lowest polymorph: 0.0000 eV/atom
- Energy of formation from the pure elements: -90.2 meV per atom

In the order shown, the computed DOS at the Fermi energy values come out to 4.1 2.8 10.8 4.1 0.0 5.8 states/eV/cell.
In the order shown, the computed E values come out to -6.00 -3.98 -3.41 -1.77 -3.78 -1.98 eV per atom.